1.
Below is GdSc2Al after structural relaxation, with properties calculated at the PBE-GGA level.

Calculated values
DFT formation energy = -0.21 eV/atom
E = -0.5754 Ry per atom
symmetry = No. 123
calculated density = 4.82 g/cm3

a b c (Å): 4.5496 4.5551 4.5551
angles (deg): 90.00 90.00 90.00
Fractional coordinates of all 4 atoms:
Sc1 0.0000 0.0000 0.5000
Sc2 0.0000 0.5000 0.0000
Gd1 0.5000 0.0000 0.0000
Al1 0.5000 0.5000 0.5000

2.
Below is Bi2AsPb after structural relaxation, with properties calculated at the PBE-GGA level.

Calculated values
DFT formation energy = 0.11 eV/atom
E = -0.2883 Ry per atom
symmetry = No. 166
calculated density = 9.39 g/cm3

a b c (Å): 4.3200 4.3200 8.0592
angles (deg): 74.45 74.45 60.00
Fractional coordinates of all 4 atoms:
Pb1 0.5000 0.5000 0.5000
As1 0.0000 0.0000 0.0000
Bi1 0.2593 0.2593 0.2222
Bi2 0.7407 0.7407 0.7778

3.
Below is Pm2PrTh3 after structural relaxation, with properties calculated at the PBE-GGA level.

Calculated values
DFT formation energy = 0.03 eV/atom
E = -0.4456 Ry per atom
symmetry = No. 12
calculated density = 9.32 g/cm3

a b c (Å): 5.0857 8.0613 10.9381
angles (deg): 72.83 76.56 71.61
Fractional coordinates of all 12 atoms:
Pm1 0.4617 0.2133 0.8633
Pm2 0.5383 0.7867 0.1367
Pm3 0.2040 0.4558 0.1363
Pm4 0.7960 0.5442 0.8637
Pr1 0.1288 0.8780 0.8645
Pr2 0.8712 0.1220 0.1355
Th1 0.7108 0.9605 0.6180
Th2 0.0438 0.2943 0.6181
Th3 0.3776 0.6270 0.6179
Th4 0.6224 0.3730 0.3821
Th5 0.9562 0.7057 0.3819
Th6 0.2892 0.0395 0.3820

4.
Below is BaTcIr2 after structural relaxation, with properties calculated at the PBE-GGA level.

Calculated values
DFT formation energy = 1.06 eV/atom
E = -0.4732 Ry per atom
symmetry = No. 119
calculated density = 13.68 g/cm3

a b c (Å): 4.9432 4.9432 4.9432
angles (deg): 126.64 126.64 78.83
Fractional coordinates of all 4 atoms:
Ba1 0.7500 0.2500 0.5000
Ir1 0.0000 0.0000 0.0000
Ir2 0.2500 0.7500 0.5000
Tc1 0.5000 0.5000 0.0000

5.
Below is CeY8Er2 after structural relaxation, with properties calculated at the PBE-GGA level.

Calculated values
DFT formation energy = 0.17 eV/atom
E = -0.4335 Ry per atom
symmetry = No. 12
calculated density = 5.31 g/cm3

a b c (Å): 5.5769 10.1923 10.1923
angles (deg): 39.85 92.63 92.63
Fractional coordinates of all 11 atoms:
Ce1 0.0000 0.0000 0.0000
Y1 0.2666 0.1324 0.6009
Y2 0.2666 0.6009 0.1324
Y3 0.7334 0.8676 0.3991
Y4 0.2372 0.5469 0.5469
Y5 0.7334 0.3991 0.8676
Y6 0.2342 0.1881 0.1881
Y7 0.7658 0.8119 0.8119
Y8 0.7628 0.4531 0.4531
Er1 0.7512 0.2842 0.2842
Er2 0.2488 0.7158 0.7158

6.
Below is BeSb2Rh after structural relaxation, with properties calculated at the PBE-GGA level.

Calculated values
uncorrected formation energy = -281 meV per atom
E = -0.3757 Ry per atom
symmetry = No. 8
calculated density = 7.12 g/cm3

a b c (Å): 3.9299 3.9299 6.6005
angles (deg): 72.79 72.79 59.97
Fractional coordinates of all 4 atoms:
Sb1 0.9623 0.9623 0.1118
Sb2 0.7879 0.7879 0.6376
Rh1 0.2085 0.2085 0.3746
Be1 0.5413 0.5413 0.3760

7.
Below is PaFeGeH2 after structural relaxation, with properties calculated at the PBE-GGA level.

Calculated values
E = -0.4584 Ry per atom
symmetry = No. 63
calculated density = 10.52 g/cm3

a b c (Å): 3.9394 5.5230 5.6128
angles (deg): 90.00 90.00 110.89
Fractional coordinates of all 10 atoms:
Pa1 0.7115 0.4230 0.7500
Pa2 0.2885 0.5770 0.2500
Fe1 0.0000 0.0000 0.0000
Fe2 0.0000 0.0000 0.5000
Ge1 0.4268 0.8536 0.7500
Ge2 0.5732 0.1464 0.2500
H1 0.1551 0.3103 0.9333
H2 0.8449 0.6897 0.0667
H3 0.1551 0.3103 0.5667
H4 0.8449 0.6897 0.4333

8.
Below is TaZn2Ir after structural relaxation, with properties calculated at the PBE-GGA level.

Calculated values
DFT formation energy = -0.27 eV/atom
E = -0.4470 Ry per atom
symmetry = No. 119
calculated density = 13.78 g/cm3

a b c (Å): 4.5158 4.5158 4.5158
angles (deg): 123.96 124.01 83.22
Fractional coordinates of all 4 atoms:
Zn1 0.9998 0.9998 0.0000
Zn2 0.2502 0.7502 0.5000
Ir1 0.5001 0.5001 0.0000
Ta1 0.7500 0.2500 0.5000

9.
Below is Li2Al4Ag after structural relaxation, with properties calculated at the PBE-GGA level.

Calculated values
DFT formation energy = -0.07 eV/atom
E = -0.2326 Ry per atom
symmetry = No. 53
calculated density = 3.22 g/cm3

a b c (Å): 8.9048 5.1942 5.1196
angles (deg): 90.03 90.00 90.00
Fractional coordinates of all 14 atoms:
Li1 0.9994 0.5004 0.2490
Li2 0.0006 0.4996 0.7510
Li3 0.4994 0.9996 0.7510
Li4 0.5006 0.0004 0.2490
Al1 0.7500 0.7500 0.9978
Al2 0.6719 0.4999 0.4985
Al3 0.8281 0.9999 0.4985
Al4 0.7500 0.2500 0.9978
Al5 0.2500 0.7500 0.0022
Al6 0.1719 0.0001 0.5015
Al7 0.3281 0.5001 0.5015
Al8 0.2500 0.2500 0.0022
Ag1 0.0000 0.0000 0.0000
Ag2 0.5000 0.5000 0.0000

10.
Below is BeCdPt2 after structural relaxation, with properties calculated at the PBE-GGA level.

Calculated values
DFT formation energy = -0.14 eV/atom
E = -0.3176 Ry per atom
symmetry = No. 119
calculated density = 13.87 g/cm3

a b c (Å): 4.8955 4.8955 4.8955
angles (deg): 133.19 133.19 68.35
Fractional coordinates of all 4 atoms:
Be1 0.5000 0.5000 0.0000
Pt1 0.0000 0.0000 0.0000
Pt2 0.2500 0.7500 0.5000
Cd1 0.7500 0.2500 0.5000

11.
Below is Ta2FeSe after structural relaxation, with properties calculated at the PBE-GGA level.

Calculated values
uncorrected formation energy = -31 meV per atom
E = -0.6574 Ry per atom
symmetry = No. 166
calculated density = 11.73 g/cm3

a b c (Å): 6.7245 6.7245 6.7245
angles (deg): 30.70 30.70 30.70
Fractional coordinates of all 4 atoms:
Fe1 0.2500 0.2500 0.2500
Se1 0.7500 0.7500 0.7500
Ta1 0.9825 0.9825 0.9825
Ta2 0.5175 0.5175 0.5175

12.
Below is TmGa4Ru2Pt after structural relaxation, with properties calculated at the PBE-GGA level.

Calculated values
DFT formation energy = -0.47 eV/atom
E = -0.4126 Ry per atom
symmetry = No. 166
calculated density = 10.63 g/cm3

a b c (Å): 4.2732 4.2732 8.7009
angles (deg): 75.79 75.79 60.00
Fractional coordinates of all 8 atoms:
Tm1 0.0000 0.0000 0.0000
Ga1 0.3950 0.3950 0.8150
Ga2 0.8722 0.8722 0.3834
Ga3 0.1278 0.1278 0.6166
Ga4 0.6050 0.6050 0.1850
Ru1 0.7632 0.7632 0.7105
Ru2 0.2368 0.2368 0.2895
Pt1 0.5000 0.5000 0.5000